1:
Compound: GdSiPb
Source: OQMD
Functional: PBE-GGA
Structure: optimized geometry

Cell and atoms, written as CIF:
```
data_GdSiPb
_cell_length_a 4.988
_cell_length_b 4.988
_cell_length_c 4.988
_cell_angle_alpha 60.00
_cell_angle_beta 60.00
_cell_angle_gamma 60.00
_symmetry_space_group_name_H-M 'P 1'
_symmetry_Int_Tables_number 1
loop_
_symmetry_equiv_pos_as_xyz
'x,y,z'
loop_
_atom_site_label
_atom_site_fract_x
_atom_site_fract_y
_atom_site_fract_z
Gd1 0.000 0.000 0.000
Pb1 0.250 0.250 0.250
Si1 0.750 0.750 0.750
```

=====

2:
Compound: GdSiPb
Source: OQMD
Functional: PBE-GGA
Structure: optimized geometry

Cell and atoms, written as CIF:
```
data_GdSiPb
_cell_length_a 4.934
_cell_length_b 4.934
_cell_length_c 4.934
_cell_angle_alpha 60.00
_cell_angle_beta 60.00
_cell_angle_gamma 60.00
_symmetry_space_group_name_H-M 'P 1'
_symmetry_Int_Tables_number 1
loop_
_symmetry_equiv_pos_as_xyz
'x,y,z'
loop_
_atom_site_label
_atom_site_fract_x
_atom_site_fract_y
_atom_site_fract_z
Gd1 0.250 0.250 0.250
Pb1 0.750 0.750 0.750
Si1 0.000 0.000 0.000
```

=====

Most stable of them? 2.

=====

1:
Compound: Tb2GdSn3Pb4
Source: OQMD
Functional: PBE-GGA
Structure: optimized geometry

Cell and atoms, written as CIF:
```
data_Tb2GdSn3Pb4
_cell_length_a 13.081
_cell_length_b 13.081
_cell_length_c 4.686
_cell_angle_alpha 90.00
_cell_angle_beta 90.00
_cell_angle_gamma 159.63
_symmetry_space_group_name_H-M 'P 1'
_symmetry_Int_Tables_number 1
loop_
_symmetry_equiv_pos_as_xyz
'x,y,z'
loop_
_atom_site_label
_atom_site_fract_x
_atom_site_fract_y
_atom_site_fract_z
Gd1 0.500 0.500 0.000
Pb1 0.794 0.206 0.500
Pb2 0.597 0.403 0.500
Pb3 0.403 0.597 0.500
Pb4 0.206 0.794 0.500
Sn1 0.904 0.096 0.000
Sn2 0.096 0.904 0.000
Sn3 0.000 0.000 0.500
Tb1 0.687 0.313 0.000
Tb2 0.313 0.687 0.000
```

=====

2:
Compound: Tb2GdSn3Pb4
Source: OQMD
Functional: PBE-GGA
Structure: optimized geometry

Cell and atoms, written as CIF:
```
data_Tb2GdSn3Pb4
_cell_length_a 13.139
_cell_length_b 13.139
_cell_length_c 4.678
_cell_angle_alpha 90.00
_cell_angle_beta 90.00
_cell_angle_gamma 159.76
_symmetry_space_group_name_H-M 'P 1'
_symmetry_Int_Tables_number 1
loop_
_symmetry_equiv_pos_as_xyz
'x,y,z'
loop_
_atom_site_label
_atom_site_fract_x
_atom_site_fract_y
_atom_site_fract_z
Gd1 0.000 0.000 0.000
Pb1 0.597 0.403 0.000
Pb2 0.403 0.597 0.000
Pb3 0.901 0.099 0.500
Pb4 0.099 0.901 0.500
Sn1 0.709 0.291 0.500
Sn2 0.500 0.500 0.500
Sn3 0.291 0.709 0.500
Tb1 0.809 0.191 0.000
Tb2 0.191 0.809 0.000
```

=====

Most stable of them? 2.

=====

1:
Compound: TbGd2Sn5Pb2
Source: OQMD
Functional: PBE-GGA
Structure: optimized geometry

Cell and atoms, written as CIF:
```
data_TbGd2Sn5Pb2
_cell_length_a 13.050
_cell_length_b 13.050
_cell_length_c 4.611
_cell_angle_alpha 90.00
_cell_angle_beta 90.00
_cell_angle_gamma 159.64
_symmetry_space_group_name_H-M 'P 1'
_symmetry_Int_Tables_number 1
loop_
_symmetry_equiv_pos_as_xyz
'x,y,z'
loop_
_atom_site_label
_atom_site_fract_x
_atom_site_fract_y
_atom_site_fract_z
Gd1 0.689 0.311 0.000
Gd2 0.311 0.689 0.000
Pb1 0.903 0.097 0.000
Pb2 0.097 0.903 0.000
Sn1 0.000 0.000 0.500
Sn2 0.791 0.209 0.500
Sn3 0.597 0.403 0.500
Sn4 0.403 0.597 0.500
Sn5 0.209 0.791 0.500
Tb1 0.500 0.500 0.000
```

=====

2:
Compound: TbGd2Sn5Pb2
Source: OQMD
Functional: PBE-GGA
Structure: optimized geometry

Cell and atoms, written as CIF:
```
data_TbGd2Sn5Pb2
_cell_length_a 13.003
_cell_length_b 13.003
_cell_length_c 4.617
_cell_angle_alpha 90.00
_cell_angle_beta 90.00
_cell_angle_gamma 159.56
_symmetry_space_group_name_H-M 'P 1'
_symmetry_Int_Tables_number 1
loop_
_symmetry_equiv_pos_as_xyz
'x,y,z'
loop_
_atom_site_label
_atom_site_fract_x
_atom_site_fract_y
_atom_site_fract_z
Gd1 0.816 0.184 0.000
Gd2 0.184 0.816 0.000
Pb1 0.706 0.294 0.500
Pb2 0.294 0.706 0.500
Sn1 0.595 0.405 0.000
Sn2 0.405 0.595 0.000
Sn3 0.905 0.095 0.500
Sn4 0.500 0.500 0.500
Sn5 0.095 0.905 0.500
Tb1 0.000 0.000 0.000
```

=====

Most stable of them? 1.

=====

1:
Compound: Gd3Tl2Sn2Pb3
Source: OQMD
Functional: PBE-GGA
Structure: optimized geometry

Cell and atoms, written as CIF:
```
data_Gd3Tl2Sn2Pb3
_cell_length_a 12.584
_cell_length_b 12.584
_cell_length_c 4.743
_cell_angle_alpha 90.00
_cell_angle_beta 90.00
_cell_angle_gamma 158.25
_symmetry_space_group_name_H-M 'P 1'
_symmetry_Int_Tables_number 1
loop_
_symmetry_equiv_pos_as_xyz
'x,y,z'
loop_
_atom_site_label
_atom_site_fract_x
_atom_site_fract_y
_atom_site_fract_z
Gd1 0.000 0.000 0.000
Gd2 0.810 0.190 0.000
Gd3 0.190 0.810 0.000
Pb1 0.599 0.401 0.000
Pb2 0.401 0.599 0.000
Pb3 0.500 0.500 0.500
Sn1 0.900 0.100 0.500
Sn2 0.100 0.900 0.500
Tl1 0.707 0.293 0.500
Tl2 0.293 0.707 0.500
```

=====

2:
Compound: Gd3Tl2Sn2Pb3
Source: OQMD
Functional: PBE-GGA
Structure: optimized geometry

Cell and atoms, written as CIF:
```
data_Gd3Tl2Sn2Pb3
_cell_length_a 13.164
_cell_length_b 13.164
_cell_length_c 4.643
_cell_angle_alpha 90.00
_cell_angle_beta 90.00
_cell_angle_gamma 159.72
_symmetry_space_group_name_H-M 'P 1'
_symmetry_Int_Tables_number 1
loop_
_symmetry_equiv_pos_as_xyz
'x,y,z'
loop_
_atom_site_label
_atom_site_fract_x
_atom_site_fract_y
_atom_site_fract_z
Gd1 0.691 0.309 0.500
Gd2 0.500 0.500 0.500
Gd3 0.309 0.691 0.500
Pb1 0.000 0.000 0.000
Pb2 0.599 0.401 0.000
Pb3 0.401 0.599 0.000
Sn1 0.791 0.209 0.000
Sn2 0.209 0.791 0.000
Tl1 0.900 0.100 0.500
Tl2 0.100 0.900 0.500
```

=====

Most stable of them? 2.

=====

1:
Compound: Gd3Tl2Sn2Pb3
Source: OQMD
Functional: PBE-GGA
Structure: optimized geometry

Cell and atoms, written as CIF:
```
data_Gd3Tl2Sn2Pb3
_cell_length_a 13.174
_cell_length_b 13.174
_cell_length_c 4.723
_cell_angle_alpha 90.00
_cell_angle_beta 90.00
_cell_angle_gamma 160.13
_symmetry_space_group_name_H-M 'P 1'
_symmetry_Int_Tables_number 1
loop_
_symmetry_equiv_pos_as_xyz
'x,y,z'
loop_
_atom_site_label
_atom_site_fract_x
_atom_site_fract_y
_atom_site_fract_z
Gd1 0.000 0.000 0.500
Gd2 0.809 0.191 0.500
Gd3 0.191 0.809 0.500
Pb1 0.500 0.500 0.000
Pb2 0.597 0.403 0.500
Pb3 0.403 0.597 0.500
Sn1 0.709 0.291 0.000
Sn2 0.291 0.709 0.000
Tl1 0.900 0.100 0.000
Tl2 0.100 0.900 0.000
```

=====

2:
Compound: Gd3Tl2Sn2Pb3
Source: OQMD
Functional: PBE-GGA
Structure: optimized geometry

Cell and atoms, written as CIF:
```
data_Gd3Tl2Sn2Pb3
_cell_length_a 12.636
_cell_length_b 12.636
_cell_length_c 4.805
_cell_angle_alpha 90.00
_cell_angle_beta 90.00
_cell_angle_gamma 158.65
_symmetry_space_group_name_H-M 'P 1'
_symmetry_Int_Tables_number 1
loop_
_symmetry_equiv_pos_as_xyz
'x,y,z'
loop_
_atom_site_label
_atom_site_fract_x
_atom_site_fract_y
_atom_site_fract_z
Gd1 0.000 0.000 0.000
Gd2 0.810 0.190 0.000
Gd3 0.190 0.810 0.000
Pb1 0.900 0.100 0.500
Pb2 0.500 0.500 0.500
Pb3 0.100 0.900 0.500
Sn1 0.599 0.401 0.000
Sn2 0.401 0.599 0.000
Tl1 0.707 0.293 0.500
Tl2 0.293 0.707 0.500
```

=====

3:
Compound: Gd3Tl2Sn2Pb3
Source: OQMD
Functional: PBE-GGA
Structure: optimized geometry

Cell and atoms, written as CIF:
```
data_Gd3Tl2Sn2Pb3
_cell_length_a 13.082
_cell_length_b 13.082
_cell_length_c 4.737
_cell_angle_alpha 90.00
_cell_angle_beta 90.00
_cell_angle_gamma 159.86
_symmetry_space_group_name_H-M 'P 1'
_symmetry_Int_Tables_number 1
loop_
_symmetry_equiv_pos_as_xyz
'x,y,z'
loop_
_atom_site_label
_atom_site_fract_x
_atom_site_fract_y
_atom_site_fract_z
Gd1 0.000 0.000 0.000
Gd2 0.813 0.187 0.000
Gd3 0.187 0.813 0.000
Pb1 0.706 0.294 0.500
Pb2 0.500 0.500 0.500
Pb3 0.294 0.706 0.500
Sn1 0.596 0.404 0.000
Sn2 0.404 0.596 0.000
Tl1 0.901 0.099 0.500
Tl2 0.099 0.901 0.500
```

=====

Most stable of them? 1.

=====

1:
Compound: Gd3Tl3Sn2Pb2
Source: OQMD
Functional: PBE-GGA
Structure: optimized geometry

Cell and atoms, written as CIF:
```
data_Gd3Tl3Sn2Pb2
_cell_length_a 12.480
_cell_length_b 12.480
_cell_length_c 4.811
_cell_angle_alpha 90.00
_cell_angle_beta 90.00
_cell_angle_gamma 158.32
_symmetry_space_group_name_H-M 'P 1'
_symmetry_Int_Tables_number 1
loop_
_symmetry_equiv_pos_as_xyz
'x,y,z'
loop_
_atom_site_label
_atom_site_fract_x
_atom_site_fract_y
_atom_site_fract_z
Gd1 0.000 0.000 0.500
Gd2 0.811 0.189 0.500
Gd3 0.189 0.811 0.500
Pb1 0.901 0.099 0.000
Pb2 0.099 0.901 0.000
Sn1 0.598 0.402 0.500
Sn2 0.402 0.598 0.500
Tl1 0.706 0.294 0.000
Tl2 0.500 0.500 0.000
Tl3 0.294 0.706 0.000
```

=====

2:
Compound: Gd3Tl3Sn2Pb2
Source: OQMD
Functional: PBE-GGA
Structure: optimized geometry

Cell and atoms, written as CIF:
```
data_Gd3Tl3Sn2Pb2
_cell_length_a 13.038
_cell_length_b 13.038
_cell_length_c 4.647
_cell_angle_alpha 90.00
_cell_angle_beta 90.00
_cell_angle_gamma 159.48
_symmetry_space_group_name_H-M 'P 1'
_symmetry_Int_Tables_number 1
loop_
_symmetry_equiv_pos_as_xyz
'x,y,z'
loop_
_atom_site_label
_atom_site_fract_x
_atom_site_fract_y
_atom_site_fract_z
Gd1 0.000 0.000 0.500
Gd2 0.809 0.191 0.500
Gd3 0.191 0.809 0.500
Pb1 0.902 0.098 0.000
Pb2 0.098 0.902 0.000
Sn1 0.708 0.292 0.000
Sn2 0.292 0.708 0.000
Tl1 0.500 0.500 0.000
Tl2 0.597 0.403 0.500
Tl3 0.403 0.597 0.500
```

=====

Most stable of them? 2.

=====

1:
Compound: Gd3Tl3Sn2Pb2
Source: OQMD
Functional: PBE-GGA
Structure: optimized geometry

Cell and atoms, written as CIF:
```
data_Gd3Tl3Sn2Pb2
_cell_length_a 12.393
_cell_length_b 12.393
_cell_length_c 4.764
_cell_angle_alpha 90.00
_cell_angle_beta 90.00
_cell_angle_gamma 157.88
_symmetry_space_group_name_H-M 'P 1'
_symmetry_Int_Tables_number 1
loop_
_symmetry_equiv_pos_as_xyz
'x,y,z'
loop_
_atom_site_label
_atom_site_fract_x
_atom_site_fract_y
_atom_site_fract_z
Gd1 0.000 0.000 0.000
Gd2 0.810 0.190 0.000
Gd3 0.190 0.810 0.000
Pb1 0.598 0.402 0.000
Pb2 0.402 0.598 0.000
Sn1 0.901 0.099 0.500
Sn2 0.099 0.901 0.500
Tl1 0.706 0.294 0.500
Tl2 0.500 0.500 0.500
Tl3 0.294 0.706 0.500
```

=====

2:
Compound: Gd3Tl3Sn2Pb2
Source: OQMD
Functional: PBE-GGA
Structure: optimized geometry

Cell and atoms, written as CIF:
```
data_Gd3Tl3Sn2Pb2
_cell_length_a 12.960
_cell_length_b 12.960
_cell_length_c 4.753
_cell_angle_alpha 90.00
_cell_angle_beta 90.00
_cell_angle_gamma 159.79
_symmetry_space_group_name_H-M 'P 1'
_symmetry_Int_Tables_number 1
loop_
_symmetry_equiv_pos_as_xyz
'x,y,z'
loop_
_atom_site_label
_atom_site_fract_x
_atom_site_fract_y
_atom_site_fract_z
Gd1 0.000 0.000 0.000
Gd2 0.809 0.191 0.000
Gd3 0.191 0.809 0.000
Pb1 0.597 0.403 0.000
Pb2 0.403 0.597 0.000
Sn1 0.708 0.292 0.500
Sn2 0.292 0.708 0.500
Tl1 0.901 0.099 0.500
Tl2 0.500 0.500 0.500
Tl3 0.099 0.901 0.500
```

=====

3:
Compound: Gd3Tl3Sn2Pb2
Source: OQMD
Functional: PBE-GGA
Structure: optimized geometry

Cell and atoms, written as CIF:
```
data_Gd3Tl3Sn2Pb2
_cell_length_a 12.949
_cell_length_b 12.949
_cell_length_c 4.585
_cell_angle_alpha 90.00
_cell_angle_beta 90.00
_cell_angle_gamma 158.96
_symmetry_space_group_name_H-M 'P 1'
_symmetry_Int_Tables_number 1
loop_
_symmetry_equiv_pos_as_xyz
'x,y,z'
loop_
_atom_site_label
_atom_site_fract_x
_atom_site_fract_y
_atom_site_fract_z
Gd1 0.685 0.315 0.000
Gd2 0.500 0.500 0.000
Gd3 0.315 0.685 0.000
Pb1 0.795 0.205 0.500
Pb2 0.205 0.795 0.500
Sn1 0.595 0.405 0.500
Sn2 0.405 0.595 0.500
Tl1 0.904 0.096 0.000
Tl2 0.096 0.904 0.000
Tl3 0.000 0.000 0.500
```

=====

Most stable of them? 2.

=====

1:
Compound: Gd3Tl2Sn4Pb
Source: OQMD
Functional: PBE-GGA
Structure: optimized geometry

Cell and atoms, written as CIF:
```
data_Gd3Tl2Sn4Pb
_cell_length_a 12.442
_cell_length_b 12.442
_cell_length_c 4.745
_cell_angle_alpha 90.00
_cell_angle_beta 90.00
_cell_angle_gamma 158.25
_symmetry_space_group_name_H-M 'P 1'
_symmetry_Int_Tables_number 1
loop_
_symmetry_equiv_pos_as_xyz
'x,y,z'
loop_
_atom_site_label
_atom_site_fract_x
_atom_site_fract_y
_atom_site_fract_z
Gd1 0.688 0.312 0.000
Gd2 0.500 0.500 0.000
Gd3 0.312 0.688 0.000
Pb1 0.000 0.000 0.500
Sn1 0.902 0.098 0.000
Sn2 0.098 0.902 0.000
Sn3 0.600 0.400 0.500
Sn4 0.400 0.600 0.500
Tl1 0.794 0.206 0.500
Tl2 0.206 0.794 0.500
```

=====

2:
Compound: Gd3Tl2Sn4Pb
Source: OQMD
Functional: PBE-GGA
Structure: optimized geometry

Cell and atoms, written as CIF:
```
data_Gd3Tl2Sn4Pb
_cell_length_a 13.120
_cell_length_b 13.120
_cell_length_c 4.692
_cell_angle_alpha 90.00
_cell_angle_beta 90.00
_cell_angle_gamma 160.30
_symmetry_space_group_name_H-M 'P 1'
_symmetry_Int_Tables_number 1
loop_
_symmetry_equiv_pos_as_xyz
'x,y,z'
loop_
_atom_site_label
_atom_site_fract_x
_atom_site_fract_y
_atom_site_fract_z
Gd1 0.689 0.311 0.000
Gd2 0.500 0.500 0.000
Gd3 0.311 0.689 0.000
Pb1 0.000 0.000 0.500
Sn1 0.904 0.096 0.000
Sn2 0.096 0.904 0.000
Sn3 0.791 0.209 0.500
Sn4 0.209 0.791 0.500
Tl1 0.600 0.400 0.500
Tl2 0.400 0.600 0.500
```

=====

Most stable of them? 2.